## ZnB (GGA-PBE)

Data for a relaxed ZnB crystal.

Calculated values
Formation energy from the elements ... 134 kJ/mol of atoms

Cell: 5.982 5.982 5.982 Å, 90.00 90.00 90.00°
Atoms (fractional coordinates):
Zn  0.000  0.250  0.500
Zn  0.000  0.750  0.500
Zn  0.250  0.500  0.000
Zn  0.500  0.000  0.250
Zn  0.500  0.000  0.750
Zn  0.750  0.500  0.000
B  0.000  0.500  0.250
B  0.000  0.500  0.750
B  0.250  0.000  0.500
B  0.500  0.250  0.000
B  0.500  0.750  0.000
B  0.750  0.000  0.500